Entry 1:
The following is a DFT calculation (PBE-GGA) of crystalline Ca3SiRh at its relaxed geometry.

Cell: 5.337 5.337 5.337 Å, 90.00 90.00 90.00°
Positions (direct):
Ca 0.000 0.000 0.500
Ca 0.000 0.500 0.000
Ca 0.500 0.000 0.000
Si 0.500 0.500 0.500
Rh 0.000 0.000 0.000

Computed properties:
E_form (uncorrected)	0.020	eV/f.u.
total magnetization	1.00	μB/f.u.
relative energy among the computed polymorphs	0.000	eV/atom
mass density	2.744	g cm⁻³

Entry 2:
The following is a DFT calculation (PBE-GGA) of crystalline CaSi4Rh at its relaxed geometry.

Cell: 5.850 5.850 8.222 Å, 113.25 113.25 59.26°
Positions (direct):
Ca 0.187 0.187 0.287
Ca 0.813 0.813 0.713
Si 0.080 0.657 0.124
Si 0.226 0.774 0.500
Si 0.232 0.232 0.695
Si 0.343 0.920 0.876
Si 0.657 0.080 0.124
Si 0.768 0.768 0.305
Si 0.774 0.226 0.500
Si 0.920 0.343 0.876
Rh 0.463 0.463 0.696
Rh 0.537 0.537 0.304

Computed properties:
E_form (uncorrected)	-2.680	eV/f.u.
total magnetization	0.00	μB/f.u.
relative energy among the computed polymorphs	0.000	eV/atom
mass density	3.936	g cm⁻³